1.
A relaxed PaGe2Rh crystal, computed with PBE-GGA.

Unit cell a=4.341 b=4.145 c=4.145 alpha=90.00 beta=90.00 gamma=90.00
Fractional positions:
Rh  0.500  0.000  0.000
Pa  0.500  0.500  0.500
Ge  0.000  0.000  0.500
Ge  0.000  0.500  0.000

V = 75 Å³/f.u.
E_form = -1.940 eV per formula unit
total magnetization = 0.000 μB per atom

=====

2.
A relaxed LaBe3Cu crystal, computed with PBE-GGA.

Unit cell a=4.267 b=4.267 c=4.267 alpha=90.00 beta=90.00 gamma=90.00
Fractional positions:
Be  0.000  0.500  0.000
Be  0.500  0.000  0.000
Be  0.000  0.000  0.500
La  0.500  0.500  0.500
Cu  0.000  0.000  0.000

V = 78 Å³/f.u.
E_form = 0.707 eV per formula unit
total magnetization = 0.000 μB per atom
energy above the most stable polymorph in this dataset = 0 meV per atom

=====

3.
A relaxed Zn2GaRh crystal, computed with PBE-GGA.

Unit cell a=4.011 b=3.771 c=3.771 alpha=90.00 beta=90.00 gamma=90.00
Fractional positions:
Rh  0.500  0.500  0.500
Ga  0.500  0.000  0.000
Zn  0.000  0.000  0.500
Zn  0.000  0.500  0.000

V = 57 Å³/f.u.
E_form = -1.221 eV per formula unit
total magnetization = 0.000 μB per atom

=====

4.
A relaxed LiNbTc3 crystal, computed with PBE-GGA.

Unit cell a=4.178 b=4.178 c=4.178 alpha=90.00 beta=90.00 gamma=90.00
Fractional positions:
Nb  0.500  0.500  0.500
Li  0.000  0.000  0.000
Tc  0.000  0.000  0.500
Tc  0.500  0.000  0.000
Tc  0.000  0.500  0.000

V = 73 Å³/f.u.
E_form = 4.552 eV per formula unit
total magnetization = 0.000 μB per atom
energy above the most stable polymorph in this dataset = 0 meV per atom

=====

5.
A relaxed MnIrW2 crystal, computed with PBE-GGA.

Unit cell a=9.196 b=9.196 c=9.196 alpha=17.37 beta=17.37 gamma=17.37
Fractional positions:
W  0.004  0.004  0.004
W  0.246  0.246  0.246
Mn  0.752  0.752  0.752
Ir  0.498  0.498  0.498

V = 60 Å³/f.u.
E_form = 0.700 eV per formula unit
total magnetization = 0.639 μB per atom
energy above the most stable polymorph in this dataset = 219 meV per atom

=====

6.
A relaxed BaLiIn2 crystal, computed with PBE-GGA.

Unit cell a=4.972 b=5.835 c=5.104 alpha=125.69 beta=90.00 gamma=90.00
Fractional positions:
In  0.000  0.825  0.649
In  0.000  0.175  0.351
Ba  0.500  0.500  0.000
Li  0.500  0.000  0.000

V = 120 Å³/f.u.
E_form = -0.881 eV per formula unit
total magnetization = 0.000 μB per atom

=====

7.
A relaxed CsNa2InCl6 crystal, computed with PBE-GGA.

Unit cell a=7.230 b=7.229 c=7.849 alpha=62.58 beta=62.58 gamma=60.01
Fractional positions:
Cl  0.315  0.722  0.762
Cl  0.954  0.554  0.218
Cl  0.201  0.315  0.762
Cl  0.554  0.273  0.218
Cl  0.273  0.954  0.218
Cl  0.722  0.201  0.762
Cs  0.791  0.791  0.627
Na  0.000  0.000  0.001
Na  0.522  0.522  0.434
In  0.329  0.330  0.011

V = 301 Å³/f.u.
E_form (uncorrected) = -1505 kJ/mol of formula units
total magnetization = 0.000 μB per atom

=====

8.
A relaxed Ac3CdPd crystal, computed with PBE-GGA.

Unit cell a=7.823 b=9.263 c=10.569 alpha=112.08 beta=90.00 gamma=90.00
Fractional positions:
Cd  0.148  0.438  0.413
Cd  0.852  0.562  0.587
Cd  0.352  0.938  0.413
Cd  0.648  0.062  0.587
Pd  0.529  0.168  0.093
Pd  0.029  0.332  0.907
Pd  0.471  0.832  0.907
Pd  0.971  0.668  0.093
Ac  0.530  0.286  0.422
Ac  0.167  0.615  0.829
Ac  0.970  0.786  0.422
Ac  0.667  0.885  0.171
Ac  0.833  0.385  0.171
Ac  0.030  0.214  0.578
Ac  0.333  0.115  0.829
Ac  0.676  0.483  0.847
Ac  0.176  0.017  0.153
Ac  0.824  0.983  0.847
Ac  0.324  0.517  0.153
Ac  0.470  0.714  0.578

V = 177 Å³/f.u.
E_form = -1.782 eV per formula unit
total magnetization = 0.000 μB per atom
energy above the most stable polymorph in this dataset = 0 meV per atom

=====

- The highest V belongs to which entry?
  CsNa2InCl6

=====

- Number 1 is which compound?
  PaGe2Rh